TcAs2Os SCAN single point on PBEsol structure; calculated formation energy = 0.390 eV/atom; density = 10.9 g cm⁻³; Fermi-level density of states = 3.64 states/eV per cell; relative energy among the computed polymorphs = 300 meV per atom
1.0
2.801 0.014 0.000
-1.371 2.443 0.000
0.000 0.000 9.701
Os As Tc
1 2 1
Cartesian
0.000 0.000 4.737
0.715 1.228 6.839
0.000 0.000 0.445
0.715 1.228 2.530



MnCl2 SCAN single point on PBEsol structure; density = 2.9 g cm⁻³; formation energy without anion corrections = -0.99 eV/atom
1.0
3.637 0.000 0.000
-1.819 3.143 0.000
0.000 0.000 12.437
Mn Cl
2 4
Cartesian
0.000 0.000 0.000
1.819 0.000 6.218
1.819 2.097 7.596
1.819 1.046 1.378
0.000 1.046 4.840
0.000 2.097 11.059



HoIn4Ni SCAN single point on PBEsol structure; calculated formation energy = -0.378 eV/atom; density = 9.0 g cm⁻³; Fermi-level density of states = 3.68 states/eV per cell
1.0
-2.152 -3.637 0.997
4.774 -1.408 5.168
-3.452 5.952 4.810
In Ni Ho
8 2 2
Cartesian
-0.597 -0.919 4.813
-1.076 -1.819 0.498
1.705 1.255 8.260
-1.391 0.682 8.942
-0.233 1.826 6.162
0.561 0.225 2.033
-2.535 -0.348 2.716
1.311 -2.523 3.083
-0.864 1.526 3.704
0.034 -0.619 7.271
2.455 -0.028 5.196
-3.285 0.935 5.779



TeSe2F SCAN single point on PBEsol structure; density = 6.8 g cm⁻³; Fermi-level density of states = 2.87 states/eV per cell; formation energy without anion corrections = -0.14 eV/atom
1.0
-0.451 4.671 -0.410
-2.784 2.367 2.971
1.894 2.842 3.243
Se F Te
2 1 1
Cartesian
-0.335 2.470 1.451
-1.006 7.410 4.354
0.000 0.000 0.000
-0.671 4.940 2.902



Ta3Tc SCAN single point on PBEsol structure; calculated formation energy = -0.258 eV/atom; density = 16.1 g cm⁻³; Fermi-level density of states = 3.29 states/eV per cell; relative energy among the computed polymorphs = 64 meV per atom
1.0
-4.056 -1.219 -1.626
-2.570 -2.949 2.296
-3.787 1.414 2.058
Tc Ta
1 3
Cartesian
0.000 0.000 0.000
-7.810 -2.066 2.046
-5.207 -1.377 1.364
-2.603 -0.689 0.682



SiPIrO2 SCAN single point on PBEsol structure; density = 6.2 g cm⁻³; Fermi-level density of states = 1.99 states/eV per cell; formation energy without anion corrections = -0.86 eV/atom
1.0
-0.777 0.370 3.179
-2.312 -2.328 -0.294
4.674 -4.858 1.707
Si O Ir P
1 2 1 1
Cartesian
0.000 0.000 0.000
-1.156 -1.164 -0.147
-0.388 0.185 1.590
0.793 -3.408 2.296
2.337 -2.429 0.854



BCl SCAN single point on PBEsol structure; density = 1.6 g cm⁻³; formation energy without anion corrections = -0.60 eV/atom
1.0
-3.406 -4.336 5.864
10.810 1.461 7.360
-5.405 11.811 5.593
Cl B
32 32
Cartesian
-5.819 8.233 12.301
-0.275 5.874 5.740
1.186 4.472 8.607
6.518 -0.325 7.514
-5.733 2.283 8.493
4.567 3.200 7.160
8.436 -0.775 10.764
-0.411 5.823 14.136
0.108 11.895 9.770
6.303 6.309 12.411
3.219 6.955 14.678
0.703 0.953 7.617
4.663 6.548 9.004
1.586 7.606 11.123
-1.036 8.278 8.902
-2.521 5.236 11.409
1.606 -1.054 4.224
-2.388 3.279 8.117
2.468 2.728 4.398
3.396 0.267 9.740
0.142 9.046 16.262
-1.327 2.408 4.488
4.698 0.636 13.301
-4.755 6.903 8.812
-0.433 0.056 1.230
-3.010 8.652 5.628
3.547 4.146 12.104
-2.158 9.188 12.504
4.449 9.962 11.997
-2.753 -0.559 6.895
0.285 2.320 11.489
6.715 2.445 10.254
4.907 0.061 7.053
-3.306 2.552 6.857
-2.146 4.031 12.578
3.086 7.004 8.489
2.954 1.444 5.437
-7.642 7.965 9.680
-2.838 2.168 5.274
1.748 7.476 9.414
4.269 0.285 5.398
5.588 2.106 13.199
-7.063 5.753 10.717
2.587 -0.207 5.356
6.490 2.913 11.931
-3.509 0.906 6.291
5.801 3.472 14.279
1.636 8.511 16.926
-8.498 7.022 11.181
2.319 8.543 8.146
0.489 7.792 8.181
-6.760 7.437 11.102
4.016 1.558 6.873
2.476 7.102 6.812
1.568 6.152 8.277
3.463 -0.888 6.758
3.002 7.617 16.288
0.760 6.750 6.799
3.546 0.324 8.027
6.555 4.637 12.883
2.251 0.664 6.841
5.085 3.640 12.687
-6.293 6.848 9.585
5.435 11.351 11.754



LaMn3Ni SCAN single point on PBEsol structure; calculated formation energy = 1.905 eV/atom; density = 7.0 g cm⁻³; Fermi-level density of states = 5.66 states/eV per cell
1.0
4.417 0.000 0.000
0.000 4.417 0.000
0.000 0.000 4.417
Mn La Ni
3 1 1
Cartesian
0.000 0.000 2.209
0.000 2.209 0.000
2.209 0.000 0.000
0.000 0.000 0.000
2.209 2.209 2.209



YMg2Cr SCAN single point on PBEsol structure; calculated formation energy = 0.060 eV/atom; density = 3.5 g cm⁻³; Fermi-level density of states = 2.57 states/eV per cell
1.0
-1.803 2.140 3.247
2.685 -1.865 2.721
3.181 3.649 -0.638
Cr Y Mg
1 1 2
Cartesian
2.933 0.892 1.041
0.689 2.894 1.304
0.441 0.137 2.984
0.000 0.000 0.000



CsYPb2 SCAN single point on PBEsol structure; calculated formation energy = -0.109 eV/atom; density = 7.9 g cm⁻³; Fermi-level density of states = 2.53 states/eV per cell
1.0
-3.026 -2.025 -4.439
-2.670 -5.065 0.418
-5.730 -0.210 0.289
Pb Y Cs
2 1 1
Cartesian
-8.569 -5.475 -2.799
-2.856 -1.825 -0.933
0.000 0.000 0.000
-5.712 -3.650 -1.866



BaCr3Si SCAN single point on PBEsol structure; density = 5.1 g cm⁻³; Fermi-level density of states = 4.42 states/eV per cell; formation energy without anion corrections = 0.58 eV/atom
1.0
-1.578 -4.253 1.274
2.543 0.242 3.959
-3.639 2.014 2.214
Cr Ba Si
3 1 1
Cartesian
1.272 0.121 1.980
-1.819 1.007 1.107
-0.789 -2.126 0.637
-1.337 -0.998 3.724
0.000 0.000 0.000



Mg2ScAg SCAN single point on PBEsol structure; calculated formation energy = -0.145 eV/atom; density = 4.1 g cm⁻³; Fermi-level density of states = 2.37 states/eV per cell
1.0
-0.201 -3.131 -0.761
2.663 0.839 -4.160
3.074 0.244 5.034
Mg Sc Ag
2 1 1
Cartesian
3.144 -1.547 -1.316
2.392 -0.501 1.430
-0.101 -1.566 -0.380
1.332 0.420 -2.080